1.
! ReTc2Rh PBE relaxed; values from VASP
&SYSTEM
  ibrav = 0, nat = 4, ntyp = 3
/
ATOMIC_SPECIES
Rh 102.91 Rh.upf
Re 186.21 Re.upf
Tc 98.00 Tc.upf
CELL_PARAMETERS angstrom
-1.352 8.878 -1.383
-1.994 7.967 -3.889
-3.892 7.986 -1.909
ATOMIC_POSITIONS crystal
Rh 0.750 0.750 0.750
Re 0.500 0.500 0.500
Tc 0.999 0.999 0.999
Tc 0.251 0.251 0.251
! energy of formation: -7 kJ/mol of formula units
! DOS(E_F): 2.21 states/eV per cell

=====

2.
! ReTc2Rh PBE relaxed; values from VASP
&SYSTEM
  ibrav = 0, nat = 4, ntyp = 3
/
ATOMIC_SPECIES
Tc 98.00 Tc.upf
Re 186.21 Re.upf
Rh 102.91 Rh.upf
CELL_PARAMETERS angstrom
3.243 0.000 0.000
0.000 3.243 0.000
0.000 0.000 5.623
ATOMIC_POSITIONS crystal
Tc 0.000 0.000 0.995
Re 0.500 0.500 0.250
Rh 0.500 0.500 0.750
Tc 0.000 0.000 0.505
! energy of formation: 94 kJ/mol of formula units
! DOS(E_F): 5.10 states/eV per cell

=====

3.
! ReTc2Rh PBE relaxed; values from VASP
&SYSTEM
  ibrav = 0, nat = 4, ntyp = 3
/
ATOMIC_SPECIES
Re 186.21 Re.upf
Rh 102.91 Rh.upf
Tc 98.00 Tc.upf
CELL_PARAMETERS angstrom
2.738 0.006 0.000
-0.007 2.738 0.000
0.000 0.000 7.784
ATOMIC_POSITIONS crystal
Re 0.500 0.500 0.250
Rh 0.500 0.500 0.750
Tc 0.000 0.000 0.001
Tc 0.000 0.000 0.499
! energy of formation: -5 kJ/mol of formula units
! DOS(E_F): 4.18 states/eV per cell

=====

4.
! Re2TcRh PBE relaxed; values from VASP
&SYSTEM
  ibrav = 0, nat = 4, ntyp = 3
/
ATOMIC_SPECIES
Tc 98.00 Tc.upf
Re 186.21 Re.upf
Rh 102.91 Rh.upf
CELL_PARAMETERS angstrom
9.113 -0.002 -0.001
8.699 2.716 -0.001
8.699 1.325 2.370
ATOMIC_POSITIONS crystal
Tc 0.750 0.750 0.750
Re 0.500 0.500 0.500
Rh 0.250 0.250 0.250
Re 0.000 0.000 0.000
! energy of formation: -10 kJ/mol of formula units
! DOS(E_F): 1.71 states/eV per cell

=====

5.
! Re2TcRh PBE relaxed; values from VASP
&SYSTEM
  ibrav = 0, nat = 4, ntyp = 3
/
ATOMIC_SPECIES
Re 186.21 Re.upf
Rh 102.91 Rh.upf
Tc 98.00 Tc.upf
CELL_PARAMETERS angstrom
2.610 -1.896 2.973
-0.499 -4.250 0.964
3.026 -2.908 -1.275
ATOMIC_POSITIONS crystal
Re 0.250 0.250 0.250
Rh 0.500 0.500 0.500
Tc 0.000 0.000 0.000
Re 0.750 0.750 0.750
! energy of formation: 156 kJ/mol of formula units
! DOS(E_F): 6.92 states/eV per cell

=====

6.
! ReTcRh2 PBE relaxed; values from VASP
&SYSTEM
  ibrav = 0, nat = 4, ntyp = 3
/
ATOMIC_SPECIES
Re 186.21 Re.upf
Rh 102.91 Rh.upf
Tc 98.00 Tc.upf
CELL_PARAMETERS angstrom
4.759 0.000 -0.009
3.981 2.607 -0.009
0.769 0.229 4.645
ATOMIC_POSITIONS crystal
Re 0.250 0.250 0.250
Rh 0.000 0.000 0.000
Rh 0.500 0.500 0.500
Tc 0.750 0.750 0.750
! energy of formation: -11 kJ/mol of formula units
! DOS(E_F): 5.07 states/eV per cell

=====

7.
! Re4Tc2Rh PBE relaxed; values from VASP
&SYSTEM
  ibrav = 0, nat = 7, ntyp = 3
/
ATOMIC_SPECIES
Re 186.21 Re.upf
Rh 102.91 Rh.upf
Tc 98.00 Tc.upf
CELL_PARAMETERS angstrom
4.602 0.000 0.000
0.000 4.602 0.000
2.301 2.301 6.293
ATOMIC_POSITIONS crystal
Re 0.796 0.796 0.408
Rh 0.000 0.000 0.000
Re 0.000 0.500 0.000
Re 0.500 0.000 0.000
Re 0.204 0.204 0.592
Tc 0.386 0.386 0.227
Tc 0.614 0.614 0.773
! energy of formation: 1273 kJ/mol of formula units
! DOS(E_F): 8.21 states/eV per cell

=====

8.
! ReTc2Rh PBE relaxed; values from VASP
&SYSTEM
  ibrav = 0, nat = 4, ntyp = 3
/
ATOMIC_SPECIES
Rh 102.91 Rh.upf
Tc 98.00 Tc.upf
Re 186.21 Re.upf
CELL_PARAMETERS angstrom
-4.649 0.858 -0.547
-4.030 -1.191 -2.233
-1.742 -3.114 3.147
ATOMIC_POSITIONS crystal
Rh 0.249 0.249 0.253
Tc 0.750 0.750 0.753
Tc 0.001 0.001 0.995
Re 0.500 0.500 0.500
! energy of formation: -2 kJ/mol of formula units
! DOS(E_F): 3.96 states/eV per cell

=====

9.
! ReTc2Rh6 PBE relaxed; values from VASP
&SYSTEM
  ibrav = 0, nat = 9, ntyp = 3
/
ATOMIC_SPECIES
Re 186.21 Re.upf
Rh 102.91 Rh.upf
Tc 98.00 Tc.upf
CELL_PARAMETERS angstrom
-2.930 -1.581 -1.933
-0.115 -0.769 4.638
-5.082 5.609 3.114
ATOMIC_POSITIONS crystal
Re 0.000 0.000 0.500
Rh 0.337 0.674 0.723
Rh 0.669 0.338 0.608
Tc 0.672 0.344 0.950
Rh 0.663 0.326 0.277
Rh 0.331 0.662 0.392
Rh 0.997 0.993 0.833
Rh 0.003 0.007 0.167
Tc 0.328 0.656 0.050
! energy of formation: -51 kJ/mol of formula units
! DOS(E_F): 11.02 states/eV per cell

=====

10.
! ReTc2Rh PBE relaxed; values from VASP
&SYSTEM
  ibrav = 0, nat = 4, ntyp = 3
/
ATOMIC_SPECIES
Tc 98.00 Tc.upf
Rh 102.91 Rh.upf
Re 186.21 Re.upf
CELL_PARAMETERS angstrom
3.258 0.000 0.000
0.000 3.258 0.000
0.000 0.000 5.584
ATOMIC_POSITIONS crystal
Tc 0.000 0.000 0.990
Rh 0.500 0.500 0.747
Tc 0.500 0.500 0.250
Re 0.000 0.000 0.513
! energy of formation: 102 kJ/mol of formula units
! DOS(E_F): 4.49 states/eV per cell

=====

11.
! ReTcRh2 PBE relaxed; values from VASP
&SYSTEM
  ibrav = 0, nat = 4, ntyp = 3
/
ATOMIC_SPECIES
Tc 98.00 Tc.upf
Rh 102.91 Rh.upf
Re 186.21 Re.upf
CELL_PARAMETERS angstrom
-2.465 -1.513 3.805
2.920 -1.370 3.527
-0.244 3.953 -2.678
ATOMIC_POSITIONS crystal
Tc 0.750 0.250 0.500
Rh 0.500 0.500 0.000
Rh 0.000 0.000 0.000
Re 0.250 0.750 0.500
! energy of formation: -25 kJ/mol of formula units
! DOS(E_F): 4.38 states/eV per cell

=====

12.
! ReTcRh4 PBE relaxed; values from VASP
&SYSTEM
  ibrav = 0, nat = 12, ntyp = 3
/
ATOMIC_SPECIES
Rh 102.91 Rh.upf
Tc 98.00 Tc.upf
Re 186.21 Re.upf
CELL_PARAMETERS angstrom
7.464 0.000 0.000
0.000 5.214 -0.196
0.000 -2.293 4.688
ATOMIC_POSITIONS crystal
Rh 0.810 0.748 0.250
Rh 0.190 0.749 0.251
Tc 0.000 0.000 0.000
Rh 0.310 0.752 0.750
Rh 0.690 0.751 0.749
Rh 0.190 0.252 0.750
Rh 0.810 0.251 0.749
Re 0.000 0.500 0.500
Tc 0.500 0.500 0.000
Rh 0.690 0.248 0.250
Re 0.500 0.000 0.500
Rh 0.310 0.249 0.251
! energy of formation: 71 kJ/mol of formula units
! DOS(E_F): 10.44 states/eV per cell

=====

13.
! ReTc4Rh PBE relaxed; values from VASP
&SYSTEM
  ibrav = 0, nat = 6, ntyp = 3
/
ATOMIC_SPECIES
Tc 98.00 Tc.upf
Rh 102.91 Rh.upf
Re 186.21 Re.upf
CELL_PARAMETERS angstrom
4.133 2.629 1.217
-0.345 3.931 3.147
1.914 -0.322 4.659
ATOMIC_POSITIONS crystal
Tc 0.374 0.374 0.878
Tc 0.374 0.374 0.374
Tc 0.374 0.878 0.374
Rh 0.000 0.000 0.000
Re 0.750 0.750 0.750
Tc 0.878 0.374 0.374
! energy of formation: 171 kJ/mol of formula units
! DOS(E_F): 7.00 states/eV per cell

=====

14.
! ReTc2Rh PBE relaxed; values from VASP
&SYSTEM
  ibrav = 0, nat = 4, ntyp = 3
/
ATOMIC_SPECIES
Tc 98.00 Tc.upf
Rh 102.91 Rh.upf
Re 186.21 Re.upf
CELL_PARAMETERS angstrom
9.075 -0.007 -0.004
8.662 2.707 -0.004
8.662 1.319 2.364
ATOMIC_POSITIONS crystal
Tc 0.500 0.500 0.500
Rh 0.750 0.750 0.750
Tc 0.000 0.000 0.000
Re 0.250 0.250 0.250
! energy of formation: -6 kJ/mol of formula units
! DOS(E_F): 2.61 states/eV per cell

=====

15.
! ReTcRh4 PBE relaxed; values from VASP
&SYSTEM
  ibrav = 0, nat = 6, ntyp = 3
/
ATOMIC_SPECIES
Rh 102.91 Rh.upf
Tc 98.00 Tc.upf
Re 186.21 Re.upf
CELL_PARAMETERS angstrom
2.727 0.000 0.000
0.000 2.727 -0.009
0.000 0.037 11.574
ATOMIC_POSITIONS crystal
Rh 0.500 0.500 0.838
Rh 0.500 0.500 0.162
Tc 0.500 0.500 0.500
Rh 0.000 0.000 0.339
Rh 0.000 0.000 0.661
Re 0.000 0.000 0.000
! energy of formation: -72 kJ/mol of formula units
! DOS(E_F): 4.24 states/eV per cell

=====

16.
! Re4Tc2Rh PBE relaxed; values from VASP
&SYSTEM
  ibrav = 0, nat = 14, ntyp = 3
/
ATOMIC_SPECIES
Tc 98.00 Tc.upf
Re 186.21 Re.upf
Rh 102.91 Rh.upf
CELL_PARAMETERS angstrom
-2.665 6.208 -0.278
-0.960 -3.615 -5.632
-2.873 -3.976 4.653
ATOMIC_POSITIONS crystal
Tc 0.500 0.349 0.151
Re 0.205 0.520 0.020
Tc 0.198 0.849 0.349
Tc 0.500 0.651 0.849
Re 0.500 0.980 0.185
Re 0.500 0.315 0.520
Rh 0.000 0.250 0.250
Re 0.795 0.815 0.315
Re 0.500 0.020 0.815
Re 0.500 0.685 0.480
Re 0.205 0.185 0.685
Re 0.795 0.480 0.980
Tc 0.802 0.151 0.651
Rh 0.000 0.750 0.750
! energy of formation: 273 kJ/mol of formula units
! DOS(E_F): 11.55 states/eV per cell

=====

17.
! Re2TcRh PBE relaxed; values from VASP
&SYSTEM
  ibrav = 0, nat = 4, ntyp = 3
/
ATOMIC_SPECIES
Rh 102.91 Rh.upf
Re 186.21 Re.upf
Tc 98.00 Tc.upf
CELL_PARAMETERS angstrom
-3.695 0.817 0.861
-1.031 -0.813 -3.652
-0.589 -3.707 0.991
ATOMIC_POSITIONS crystal
Rh 0.500 0.000 0.500
Re 0.500 0.500 0.000
Re 0.000 0.000 0.000
Tc 0.000 0.500 0.500
! energy of formation: -17 kJ/mol of formula units
! DOS(E_F): 3.60 states/eV per cell

=====

18.
! ReTcRh2 PBE relaxed; values from VASP
&SYSTEM
  ibrav = 0, nat = 4, ntyp = 3
/
ATOMIC_SPECIES
Tc 98.00 Tc.upf
Rh 102.91 Rh.upf
Re 186.21 Re.upf
CELL_PARAMETERS angstrom
-3.597 0.670 2.396
-0.055 -2.635 0.655
2.738 0.902 3.859
ATOMIC_POSITIONS crystal
Tc 0.000 0.625 0.462
Rh 0.000 0.125 0.961
Re 0.500 0.625 0.786
Rh 0.500 0.125 0.290
! energy of formation: -69 kJ/mol of formula units
! DOS(E_F): 2.15 states/eV per cell

=====

19.
! Re2TcRh PBE relaxed; values from VASP
&SYSTEM
  ibrav = 0, nat = 4, ntyp = 3
/
ATOMIC_SPECIES
Re 186.21 Re.upf
Rh 102.91 Rh.upf
Tc 98.00 Tc.upf
CELL_PARAMETERS angstrom
4.587 0.000 0.000
0.000 2.687 -0.002
0.000 0.248 4.851
ATOMIC_POSITIONS crystal
Re 0.000 0.455 0.503
Rh 0.500 0.250 0.250
Tc 0.500 0.750 0.750
Re 0.000 0.045 0.997
! energy of formation: 98 kJ/mol of formula units
! DOS(E_F): 3.91 states/eV per cell

=====

20.
! ReTe3Rh PBE relaxed; values from VASP
&SYSTEM
  ibrav = 0, nat = 5, ntyp = 3
/
ATOMIC_SPECIES
Te 127.60 Te.upf
Rh 102.91 Rh.upf
Re 186.21 Re.upf
CELL_PARAMETERS angstrom
-2.562 3.568 -2.732
-3.215 -3.653 -1.755
-3.140 0.829 4.027
ATOMIC_POSITIONS crystal
Te 0.000 0.500 0.000
Te 0.500 0.000 0.000
Rh 0.500 0.500 0.500
Te 0.000 0.000 0.500
Re 0.000 0.000 0.000
! DOS(E_F): 6.14 states/eV per cell
! ΔE_f (raw): 1.187 eV/atom

=====

| no. | ρ (g cm⁻³) | uncorrected energy (eV per atom) | size of the total moment (μB/f.u.) |
| --- | --- | --- | --- |
| 1 | 13.82 | -10.151 | 0.00 |
| 2 | 13.62 | -9.891 | 0.00 |
| 3 | 13.80 | -10.146 | 0.00 |
| 4 | 16.21 | -10.679 | 0.00 |
| 5 | 15.95 | -10.250 | 0.00 |
| 6 | 14.11 | -9.407 | 0.00 |
| 7 | 13.00 | -9.240 | 0.88 |
| 8 | 13.83 | -10.138 | 0.00 |
| 9 | 12.89 | -8.646 | 0.00 |
| 10 | 13.59 | -9.869 | 0.00 |
| 11 | 14.16 | -9.443 | 0.00 |
| 12 | 12.90 | -8.581 | 0.00 |
| 13 | 12.44 | -9.915 | 0.00 |
| 14 | 13.81 | -10.148 | 0.00 |
| 15 | 13.42 | -8.827 | 0.00 |
| 16 | 14.78 | -10.721 | 0.00 |
| 17 | 16.28 | -10.697 | 0.00 |
| 18 | 14.22 | -9.557 | 0.00 |
| 19 | 15.92 | -10.401 | 0.00 |
| 20 | 8.06 | -4.658 | 0.97 |